DFT (PBE with a Hubbard U) results for a relaxed Na2PuCoO4 crystal.

Geometry as CIF:
```
data_Na2PuCoO4
_symmetry_space_group_name_H-M 'P 1 2/m 1'
_symmetry_Int_Tables_number 10
_cell_length_a 5.495
_cell_length_b 3.368
_cell_length_c 5.853
_cell_angle_alpha 90.00
_cell_angle_beta 108.19
_cell_angle_gamma 90.00
loop_
_symmetry_equiv_pos_as_xyz
'x,y,z'
'-x,-y,-z'
'-x,y,-z'
'x,-y,z'
loop_
_atom_site_label
_atom_site_type_symbol
_atom_site_fract_x
_atom_site_fract_y
_atom_site_fract_z
Na1 Na 0.000 0.000 0.000
Na2 Na 0.500 0.500 0.000
Pu1 Pu 0.000 0.500 0.500
Co1 Co 0.500 0.000 0.500
O1 O 0.239 0.000 0.718
O2 O 0.267 0.500 0.293
```

Results
final energy	-57.6	eV per cell
crystal system	monoclinic